No. 1
Computed, not measured: a geometry-optimized CuAs4Br structure at the PBEsol level of DFT.

```
data_CuAs4Br
_cell_length_a 8.007
_cell_length_b 8.007
_cell_length_c 8.007
_cell_angle_alpha 90.00
_cell_angle_beta 90.00
_cell_angle_gamma 90.00
_space_group_name_H-M_alt 'F -4 3 m'
_space_group_IT_number 216
_space_group_name_Hall 'F -4 2 3'
loop_
_atom_site_label
_atom_site_fract_x
_atom_site_fract_y
_atom_site_fract_z
_atom_site_occupancy
Cu1 0.000 0.000 0.000 1
As1 0.111 0.111 0.389 1
Br1 0.250 0.250 0.750 1
```

Properties
The total energy is -3.93 eV/atom.

---

No. 2
Computed, not measured: a geometry-optimized InCuAs2Br structure at the PBEsol level of DFT.

```
data_InCuAs2Br
_cell_length_a 5.170
_cell_length_b 5.170
_cell_length_c 5.367
_cell_angle_alpha 90.00
_cell_angle_beta 90.00
_cell_angle_gamma 90.00
_space_group_name_H-M_alt 'P 4/m m m'
_space_group_IT_number 123
_space_group_name_Hall '-P 4 2'
loop_
_atom_site_label
_atom_site_fract_x
_atom_site_fract_y
_atom_site_fract_z
_atom_site_occupancy
In1 0.000 0.000 0.000 1
Cu1 0.500 0.500 0.500 1
As1 0.000 0.500 0.000 1
Br1 0.000 0.000 0.500 1
```

Properties
The total energy is -2.84 eV/atom.

---

No. 3
Computed, not measured: a geometry-optimized LaCuAsBr2 structure at the PBEsol level of DFT.

```
data_LaCuAsBr2
_cell_length_a 5.649
_cell_length_b 5.649
_cell_length_c 5.976
_cell_angle_alpha 90.00
_cell_angle_beta 90.00
_cell_angle_gamma 90.00
_space_group_name_H-M_alt 'P 4/m m m'
_space_group_IT_number 123
_space_group_name_Hall '-P 4 2'
loop_
_atom_site_label
_atom_site_fract_x
_atom_site_fract_y
_atom_site_fract_z
_atom_site_occupancy
La1 0.000 0.000 0.000 1
Cu1 0.500 0.500 0.500 1
As1 0.000 0.000 0.500 1
Br1 0.000 0.500 0.000 1
```

Properties
The total energy is -3.76 eV/atom.

---

No. 4
Computed, not measured: a geometry-optimized CuAs2OsBr structure at the PBEsol level of DFT.

```
data_CuAs2OsBr
_cell_length_a 4.475
_cell_length_b 4.475
_cell_length_c 4.701
_cell_angle_alpha 90.00
_cell_angle_beta 90.00
_cell_angle_gamma 90.00
_space_group_name_H-M_alt 'P 4/m m m'
_space_group_IT_number 123
_space_group_name_Hall '-P 4 2'
loop_
_atom_site_label
_atom_site_fract_x
_atom_site_fract_y
_atom_site_fract_z
_atom_site_occupancy
Cu1 0.000 0.000 0.000 1
As1 0.000 0.500 0.000 1
Os1 0.500 0.500 0.500 1
Br1 0.000 0.000 0.500 1
```

Properties
The total energy is -4.28 eV/atom.

---

No. 5
Computed, not measured: a geometry-optimized RbCuAs2Br structure at the PBEsol level of DFT.

```
data_RbCuAs2Br
_cell_length_a 4.574
_cell_length_b 4.574
_cell_length_c 6.799
_cell_angle_alpha 90.00
_cell_angle_beta 90.00
_cell_angle_gamma 90.00
_space_group_name_H-M_alt 'P 4/m m m'
_space_group_IT_number 123
_space_group_name_Hall '-P 4 2'
loop_
_atom_site_label
_atom_site_fract_x
_atom_site_fract_y
_atom_site_fract_z
_atom_site_occupancy
Rb1 0.000 0.000 0.000 1
Cu1 0.500 0.500 0.500 1
As1 0.000 0.500 0.500 1
Br1 0.500 0.500 0.000 1
```

Properties
The total energy is -3.52 eV/atom.

---

No. 6
Computed, not measured: a geometry-optimized CuAsSe2Br structure at the PBEsol level of DFT.

```
data_CuAsSe2Br
_cell_length_a 4.979
_cell_length_b 4.979
_cell_length_c 5.077
_cell_angle_alpha 90.00
_cell_angle_beta 90.00
_cell_angle_gamma 90.00
_space_group_name_H-M_alt 'P 4/m m m'
_space_group_IT_number 123
_space_group_name_Hall '-P 4 2'
loop_
_atom_site_label
_atom_site_fract_x
_atom_site_fract_y
_atom_site_fract_z
_atom_site_occupancy
Cu1 0.000 0.000 0.000 1
As1 0.500 0.500 0.500 1
Se1 0.000 0.500 0.500 1
Br1 0.500 0.500 0.000 1
```

Properties
The total energy is -3.15 eV/atom.

---

No. 7
Computed, not measured: a geometry-optimized AsBr3F6 structure at the PBEsol level of DFT.

```
data_AsBr3F6
_cell_length_a 5.604
_cell_length_b 7.666
_cell_length_c 9.707
_cell_angle_alpha 88.73
_cell_angle_beta 81.54
_cell_angle_gamma 81.86
_space_group_name_H-M_alt 'P -1'
_space_group_IT_number 2
loop_
_space_group_symop_operation_xyz
'x,y,z'
'-x,-y,-z'
loop_
_atom_site_label
_atom_site_fract_x
_atom_site_fract_y
_atom_site_fract_z
_atom_site_occupancy
As1 0.072 0.223 0.194 1
Br1 0.300 0.225 0.542 1
Br2 0.308 0.199 0.779 1
Br3 0.419 0.616 0.179 1
F1 0.038 0.010 0.259 1
F2 0.119 0.437 0.129 1
F3 0.131 0.681 0.666 1
F4 0.159 0.780 0.908 1
F5 0.291 0.130 0.056 1
F6 0.318 0.227 0.292 1
```

Properties
The total energy is -3.65 eV/atom.

---

No. 8
Computed, not measured: a geometry-optimized HgAs2BrF structure at the PBEsol level of DFT.

```
data_HgAs2BrF
_cell_length_a 5.142
_cell_length_b 5.142
_cell_length_c 5.313
_cell_angle_alpha 90.00
_cell_angle_beta 90.00
_cell_angle_gamma 90.00
_space_group_name_H-M_alt 'P 4/m m m'
_space_group_IT_number 123
_space_group_name_Hall '-P 4 2'
loop_
_atom_site_label
_atom_site_fract_x
_atom_site_fract_y
_atom_site_fract_z
_atom_site_occupancy
Hg1 0.000 0.000 0.000 1
As1 0.000 0.500 0.000 1
Br1 0.000 0.000 0.500 1
F1 0.500 0.500 0.500 1
```

Properties
The total energy is -2.20 eV/atom.

---

No. 9
Computed, not measured: a geometry-optimized HgAsBr2F structure at the PBEsol level of DFT.

```
data_HgAsBr2F
_cell_length_a 5.272
_cell_length_b 5.272
_cell_length_c 5.295
_cell_angle_alpha 90.00
_cell_angle_beta 90.00
_cell_angle_gamma 90.00
_space_group_name_H-M_alt 'P 4/m m m'
_space_group_IT_number 123
_space_group_name_Hall '-P 4 2'
loop_
_atom_site_label
_atom_site_fract_x
_atom_site_fract_y
_atom_site_fract_z
_atom_site_occupancy
Hg1 0.000 0.000 0.000 1
As1 0.000 0.000 0.500 1
Br1 0.000 0.500 0.000 1
F1 0.500 0.500 0.500 1
```

Properties
The total energy is -1.85 eV/atom.

---

No. 10
Computed, not measured: a geometry-optimized MnAsBr2F structure at the PBEsol level of DFT.

```
data_MnAsBr2F
_cell_length_a 5.355
_cell_length_b 5.355
_cell_length_c 3.856
_cell_angle_alpha 90.00
_cell_angle_beta 90.00
_cell_angle_gamma 90.00
_space_group_name_H-M_alt 'P 4/m m m'
_space_group_IT_number 123
_space_group_name_Hall '-P 4 2'
loop_
_atom_site_label
_atom_site_fract_x
_atom_site_fract_y
_atom_site_fract_z
_atom_site_occupancy
Mn1 0.000 0.000 0.000 1
As1 0.500 0.500 0.000 1
Br1 0.000 0.500 0.500 1
F1 0.500 0.500 0.500 1
```

Properties
The total energy is -3.95 eV/atom.

---

No. 11
Computed, not measured: a geometry-optimized AsPBr2F structure at the PBEsol level of DFT.

```
data_AsPBr2F
_cell_length_a 4.832
_cell_length_b 4.832
_cell_length_c 4.880
_cell_angle_alpha 90.00
_cell_angle_beta 90.00
_cell_angle_gamma 90.00
_space_group_name_H-M_alt 'P 4/m m m'
_space_group_IT_number 123
_space_group_name_Hall '-P 4 2'
loop_
_atom_site_label
_atom_site_fract_x
_atom_site_fract_y
_atom_site_fract_z
_atom_site_occupancy
As1 0.000 0.000 0.000 1
P1 0.000 0.000 0.500 1
Br1 0.000 0.500 0.500 1
F1 0.500 0.500 0.000 1
```

Properties
The value obtained for the offset from the most stable computed form is 0.0 meV per atom. The total energy is -3.07 eV/atom.

---

No. 12
Computed, not measured: a geometry-optimized AsPBr2F structure at the PBEsol level of DFT.

```
data_AsPBr2F
_cell_length_a 5.327
_cell_length_b 5.327
_cell_length_c 3.797
_cell_angle_alpha 90.00
_cell_angle_beta 90.00
_cell_angle_gamma 90.00
_space_group_name_H-M_alt 'P 4/m m m'
_space_group_IT_number 123
_space_group_name_Hall '-P 4 2'
loop_
_atom_site_label
_atom_site_fract_x
_atom_site_fract_y
_atom_site_fract_z
_atom_site_occupancy
As1 0.000 0.000 0.000 1
P1 0.500 0.500 0.000 1
Br1 0.000 0.500 0.500 1
F1 0.000 0.000 0.500 1
```

Properties
The value obtained for the offset from the most stable computed form is 209.5 meV per atom. The total energy is -2.86 eV/atom.

---

No. 13
Computed, not measured: a geometry-optimized As2PdBrF structure at the PBEsol level of DFT.

```
data_As2PdBrF
_cell_length_a 4.240
_cell_length_b 4.240
_cell_length_c 5.224
_cell_angle_alpha 90.00
_cell_angle_beta 90.00
_cell_angle_gamma 90.00
_space_group_name_H-M_alt 'P 4/m m m'
_space_group_IT_number 123
_space_group_name_Hall '-P 4 2'
loop_
_atom_site_label
_atom_site_fract_x
_atom_site_fract_y
_atom_site_fract_z
_atom_site_occupancy
As1 0.000 0.500 0.000 1
Pd1 0.000 0.000 0.500 1
Br1 0.500 0.500 0.500 1
F1 0.500 0.500 0.000 1
```

Properties
The total energy is -3.63 eV/atom.

---

No. 14
Computed, not measured: a geometry-optimized AsPdBr2F structure at the PBEsol level of DFT.

```
data_AsPdBr2F
_cell_length_a 5.288
_cell_length_b 5.288
_cell_length_c 3.784
_cell_angle_alpha 90.00
_cell_angle_beta 90.00
_cell_angle_gamma 90.00
_space_group_name_H-M_alt 'P 4/m m m'
_space_group_IT_number 123
_space_group_name_Hall '-P 4 2'
loop_
_atom_site_label
_atom_site_fract_x
_atom_site_fract_y
_atom_site_fract_z
_atom_site_occupancy
As1 0.000 0.000 0.000 1
Pd1 0.500 0.500 0.000 1
Br1 0.000 0.500 0.500 1
F1 0.000 0.000 0.500 1
```

Properties
The total energy is -3.10 eV/atom.

---

No. 15
Computed, not measured: a geometry-optimized As2PtBrF structure at the PBEsol level of DFT.

```
data_As2PtBrF
_cell_length_a 4.233
_cell_length_b 4.233
_cell_length_c 5.090
_cell_angle_alpha 90.00
_cell_angle_beta 90.00
_cell_angle_gamma 90.00
_space_group_name_H-M_alt 'P 4/m m m'
_space_group_IT_number 123
_space_group_name_Hall '-P 4 2'
loop_
_atom_site_label
_atom_site_fract_x
_atom_site_fract_y
_atom_site_fract_z
_atom_site_occupancy
As1 0.000 0.500 0.000 1
Pt1 0.000 0.000 0.500 1
Br1 0.500 0.500 0.500 1
F1 0.500 0.500 0.000 1
```

Properties
The total energy is -3.64 eV/atom.

---

No. 16
Computed, not measured: a geometry-optimized As2RhBrF structure at the PBEsol level of DFT.

```
data_As2RhBrF
_cell_length_a 4.646
_cell_length_b 4.646
_cell_length_c 5.083
_cell_angle_alpha 90.00
_cell_angle_beta 90.00
_cell_angle_gamma 90.00
_space_group_name_H-M_alt 'P 4/m m m'
_space_group_IT_number 123
_space_group_name_Hall '-P 4 2'
loop_
_atom_site_label
_atom_site_fract_x
_atom_site_fract_y
_atom_site_fract_z
_atom_site_occupancy
As1 0.000 0.500 0.000 1
Rh1 0.000 0.000 0.000 1
Br1 0.000 0.000 0.500 1
F1 0.500 0.500 0.500 1
```

Properties
The total energy is -4.25 eV/atom.

---

No. 17
Computed, not measured: a geometry-optimized SbAsBr2F structure at the PBEsol level of DFT.

```
data_SbAsBr2F
_cell_length_a 5.435
_cell_length_b 5.435
_cell_length_c 3.860
_cell_angle_alpha 90.00
_cell_angle_beta 90.00
_cell_angle_gamma 90.00
_space_group_name_H-M_alt 'P 4/m m m'
_space_group_IT_number 123
_space_group_name_Hall '-P 4 2'
loop_
_atom_site_label
_atom_site_fract_x
_atom_site_fract_y
_atom_site_fract_z
_atom_site_occupancy
Sb1 0.000 0.000 0.000 1
As1 0.500 0.500 0.000 1
Br1 0.000 0.500 0.500 1
F1 0.500 0.500 0.500 1
```

Properties
The total energy is -3.08 eV/atom.

---

No. 18
Computed, not measured: a geometry-optimized TiAs2BrF structure at the PBEsol level of DFT.

```
data_TiAs2BrF
_cell_length_a 4.811
_cell_length_b 4.811
_cell_length_c 4.838
_cell_angle_alpha 90.00
_cell_angle_beta 90.00
_cell_angle_gamma 90.00
_space_group_name_H-M_alt 'P 4/m m m'
_space_group_IT_number 123
_space_group_name_Hall '-P 4 2'
loop_
_atom_site_label
_atom_site_fract_x
_atom_site_fract_y
_atom_site_fract_z
_atom_site_occupancy
Ti1 0.000 0.000 0.000 1
As1 0.000 0.500 0.000 1
Br1 0.000 0.000 0.500 1
F1 0.500 0.500 0.500 1
```

Properties
The total energy is -4.67 eV/atom.

---

No. 19
Computed, not measured: a geometry-optimized FeAsBr2 structure at the PBEsol level of DFT.

```
data_FeAsBr2
_cell_length_a 14.287
_cell_length_b 3.253
_cell_length_c 3.978
_cell_angle_alpha 90.00
_cell_angle_beta 98.26
_cell_angle_gamma 90.00
_space_group_name_H-M_alt 'C 1 2/m 1'
_space_group_IT_number 12
loop_
_space_group_symop_operation_xyz
'x,y,z'
'-x,-y,-z'
'-x,y,-z'
'x,-y,z'
'x+1/2,y+1/2,z'
'-x+1/2,-y+1/2,-z'
'-x+1/2,y+1/2,-z'
'x+1/2,-y+1/2,z'
loop_
_atom_site_label
_atom_site_fract_x
_atom_site_fract_y
_atom_site_fract_z
_atom_site_occupancy
Fe1 0.000 0.000 0.000 1
As1 0.000 0.500 0.500 1
Br1 0.149 0.500 0.192 1
```

Properties
The value obtained for the offset from the most stable computed form is 91.5 meV per atom. The total energy is -4.37 eV/atom.

---

No. 20
Computed, not measured: a geometry-optimized FeAsBr2 structure at the PBEsol level of DFT.

```
data_FeAsBr2
_cell_length_a 4.842
_cell_length_b 4.842
_cell_length_c 3.266
_cell_angle_alpha 90.00
_cell_angle_beta 90.00
_cell_angle_gamma 90.00
_space_group_name_H-M_alt 'P 4/m m m'
_space_group_IT_number 123
_space_group_name_Hall '-P 4 2'
loop_
_atom_site_label
_atom_site_fract_x
_atom_site_fract_y
_atom_site_fract_z
_atom_site_occupancy
Fe1 0.000 0.000 0.000 1
As1 0.500 0.500 0.000 1
Br1 0.000 0.500 0.500 1
```

Properties
The value obtained for the offset from the most stable computed form is 689.2 meV per atom. The total energy is -3.77 eV/atom.